This record from Alexandria describes Sm2BiH after structural relaxation. The functional is PBE.

Cell: 8.4053 5.3640 8.5797 Å, 90.00 104.83 90.00°
Closest atoms and distances in Å follow each position.
Fractional positions:
Sm1 0.0062 0.2482 0.1269  3 H 2.27-2.32
Sm2 0.0062 0.2518 0.6269  3 H 2.27-2.32
Sm3 0.3562 0.2435 0.4638  1 H 2.23
Sm4 0.3562 0.2565 0.9638  1 H 2.23
Sm5 0.6438 0.7435 0.0362  1 H 2.23
Sm6 0.6438 0.7565 0.5362  1 H 2.23
Sm7 0.9938 0.7482 0.3731  3 H 2.27-2.32
Sm8 0.9938 0.7518 0.8731  3 H 2.27-2.32
Bi1 0.3111 0.7466 0.7028  3 H 3.31-3.52, 10 Sm 3.35-3.67
Bi2 0.3111 0.7534 0.2028  3 H 3.31-3.52, 10 Sm 3.35-3.67
Bi3 0.6889 0.2466 0.7972  3 H 3.31-3.52, 10 Sm 3.35-3.67
Bi4 0.6889 0.2534 0.2972  3 H 3.31-3.52, 10 Sm 3.35-3.67
H1 0.0894 0.1460 0.3985  4 Sm 2.23-2.32
H2 0.0894 0.3540 0.8985  4 Sm 2.23-2.32
H3 0.9106 0.6460 0.1015  4 Sm 2.23-2.32
H4 0.9106 0.8540 0.6015  4 Sm 2.23-2.32

Summary:
The volume comes out at 23.37 Å³/atom. As for the space group: P2_1/c, No. 14. As for the crystal system: monoclinic. As for the total DFT energy (no corrections): -4.79 eV per atom.

***

This record from Alexandria describes Ac2CuNi after structural relaxation. The functional is PBE.

Cell: 3.7385 3.7385 7.4979 Å, 90.00 90.00 90.00°
Closest atoms and distances in Å follow each position.
Fractional positions:
Ac1 0.0000 0.0000 0.2416  4 Ni 3.20, 4 Cu 3.28
Ac2 0.0000 0.0000 0.7584  4 Ni 3.20, 4 Cu 3.28
Cu1 0.5000 0.5000 0.5000  8 Ac 3.28
Ni1 0.5000 0.5000 0.0000  8 Ac 3.20

Summary:
The volume comes out at 26.20 Å³/atom. As for the space group: P4/mmm, No. 123. As for the crystal system: tetragonal. As for the total DFT energy (no corrections): -4.63 eV per atom.

***

This record from Alexandria describes Rb2ZnF3 after structural relaxation. The functional is PBE.

Cell: 6.6410 6.6410 7.4492 Å, 106.28 106.28 52.70°
Closest atoms and distances in Å follow each position.
Fractional positions:
Rb1 0.1633 0.1674 0.0834  6 F 2.77-2.96
Rb2 0.1674 0.1633 0.5834  6 F 2.77-2.96
Rb3 0.8326 0.8367 0.4166  6 F 2.77-2.96
Rb4 0.8367 0.8326 0.9166  6 F 2.77-2.96
Zn1 0.4905 0.5095 0.2500  1 F 2.04
Zn2 0.5095 0.4905 0.7500  1 F 2.04
F1 0.1450 0.8550 0.2500  1 Zn 2.04
F2 0.3586 0.3624 0.4309  2 Zn 2.44
F3 0.3624 0.3586 0.9309  2 Zn 2.44
F4 0.6376 0.6414 0.0691  2 Zn 2.44
F5 0.6414 0.6376 0.5691  2 Zn 2.44
F6 0.8550 0.1450 0.7500  1 Zn 2.04

Summary:
The volume comes out at 20.69 Å³/atom. As for the space group: C2/c, No. 15. As for the crystal system: monoclinic. As for the total DFT energy (no corrections): -3.58 eV per atom.

***

This record from Alexandria describes BiTe after structural relaxation. The functional is PBE.

Cell: 3.7338 3.7338 4.9778 Å, 90.00 90.00 114.76°
Closest atoms and distances in Å follow each position.
Fractional positions:
Bi1 0.0000 0.0000 0.0000  4 Te 3.20
Te1 0.5000 0.5000 0.5000  4 Bi 3.20

Summary:
The volume comes out at 31.51 Å³/atom. As for the space group: Cmmm, No. 65. As for the crystal system: orthorhombic. As for the total DFT energy (no corrections): -3.36 eV per atom.

***

This record from Alexandria describes Ac2PrEr after structural relaxation. The functional is PBE.

Cell: 3.8824 3.8824 10.2737 Å, 90.00 90.00 90.00°
Closest atoms and distances in Å follow each position.
Fractional positions:
Ac1 0.0000 0.0000 0.2426  4 Er 3.71, 4 Pr 3.81, 4 Ac 3.88
Ac2 0.0000 0.0000 0.7574  4 Er 3.71, 4 Pr 3.81, 4 Ac 3.88
Pr1 0.5000 0.5000 0.5000  8 Ac 3.81, 4 Pr 3.88
Er1 0.5000 0.5000 0.0000  8 Ac 3.71, 4 Er 3.88

Summary:
The volume comes out at 38.71 Å³/atom. As for the space group: P4/mmm, No. 123. As for the crystal system: tetragonal. As for the total DFT energy (no corrections): -4.35 eV per atom.

***

This record from Alexandria describes MnNi12As3 after structural relaxation. The functional is PBE.

Cell: 3.5863 3.5863 14.3543 Å, 90.00 90.00 90.00°
Closest atoms and distances in Å follow each position.
Fractional positions:
Mn1 0.0000 0.0000 0.0000  12 Ni 2.54
Ni1 0.0000 0.5000 0.1250  2 As 2.48, 8 Ni 2.54-2.57, 2 Mn 2.54
Ni2 0.0000 0.5000 0.3755  8 Ni 2.51-2.54, 4 As 2.53-2.60
Ni3 0.0000 0.5000 0.6245  8 Ni 2.51-2.54, 4 As 2.53-2.60
Ni4 0.0000 0.5000 0.8750  2 As 2.48, 8 Ni 2.54-2.57, 2 Mn 2.54
Ni5 0.5000 0.0000 0.1250  2 As 2.48, 8 Ni 2.54-2.57, 2 Mn 2.54
Ni6 0.5000 0.0000 0.3755  8 Ni 2.51-2.54, 4 As 2.53-2.60
Ni7 0.5000 0.0000 0.6245  8 Ni 2.51-2.54, 4 As 2.53-2.60
Ni8 0.5000 0.0000 0.8750  2 As 2.48, 8 Ni 2.54-2.57, 2 Mn 2.54
Ni9 0.5000 0.5000 0.0000  4 Mn 2.54, 8 Ni 2.54
Ni10 0.5000 0.5000 0.2528  8 Ni 2.51-2.57, 4 As 2.54
Ni11 0.5000 0.5000 0.5000  8 Ni 2.53, 4 As 2.54
Ni12 0.5000 0.5000 0.7472  8 Ni 2.51-2.57, 4 As 2.54
As1 0.0000 0.0000 0.2446  12 Ni 2.48-2.60
As2 0.0000 0.0000 0.5000  12 Ni 2.53-2.54
As3 0.0000 0.0000 0.7554  12 Ni 2.48-2.60

Summary:
The volume comes out at 11.54 Å³/atom. As for the space group: P4/mmm, No. 123. As for the crystal system: tetragonal. As for the total DFT energy (no corrections): -5.93 eV per atom.

***

This record from Alexandria describes La2Cu3As4Pt after structural relaxation. The functional is PBE.

Cell: 4.3637 4.3637 9.9851 Å, 90.00 90.00 90.00°
Closest atoms and distances in Å follow each position.
Fractional positions:
La1 0.0000 0.5000 0.2452  8 As 3.27-3.35, 2 Pt 3.28, 6 Cu 3.28-3.36
La2 0.5000 0.0000 0.7548  8 As 3.27-3.35, 2 Pt 3.28, 6 Cu 3.28-3.36
Cu1 0.0000 0.0000 0.0000  4 As 2.58
Cu2 0.0000 0.5000 0.6221  5 As 2.40-2.50
Cu3 0.5000 0.0000 0.3779  5 As 2.40-2.50
As1 0.0000 0.0000 0.5000  4 Cu 2.50
As2 0.0000 0.5000 0.8629  3 Cu 2.40-2.58, 2 Pt 2.58
As3 0.5000 0.0000 0.1371  3 Cu 2.40-2.58, 2 Pt 2.58
As4 0.5000 0.5000 0.5000  4 Cu 2.50
Pt1 0.5000 0.5000 0.0000  4 As 2.58

Summary:
The volume comes out at 19.01 Å³/atom. As for the space group: P-4m2, No. 115. As for the crystal system: tetragonal. As for the total DFT energy (no corrections): -5.41 eV per atom.

***

This record from Alexandria describes Ca2ZnPb after structural relaxation. The functional is PBE.

Cell: 9.8995 9.8995 9.8995 Å, 22.12 22.12 22.12°
Closest atoms and distances in Å follow each position.
Fractional positions:
Ca1 0.2424 0.2424 0.2424  3 Zn 3.10, 3 Pb 3.43
Ca2 0.7576 0.7576 0.7576  3 Zn 3.10, 3 Pb 3.43
Zn1 0.5000 0.5000 0.5000  6 Ca 3.10
Pb1 0.0000 0.0000 0.0000  6 Ca 3.43, 6 Pb 3.80

Summary:
The volume comes out at 30.14 Å³/atom. As for the space group: R-3m, No. 166. As for the crystal system: trigonal. As for the total DFT energy (no corrections): -2.44 eV per atom.

***

This record from Alexandria describes Pr2Nd3Sm4 after structural relaxation. The functional is PBE.

Cell: 3.6655 3.6655 27.3167 Å, 90.00 90.00 120.00°
Closest atoms and distances in Å follow each position.
Fractional positions:
Pr1 0.0000 0.0000 0.0000  3 Sm 3.65, 6 Pr 3.67, 3 Nd 3.77
Pr2 0.0000 0.0000 0.2221  1 Sm 3.47, 3 Nd 3.63, 6 Pr 3.67
Nd1 0.0000 0.0000 0.7820  6 Sm 3.66-3.67, 6 Nd 3.67
Nd2 0.3333 0.6667 0.1143  6 Pr 3.63-3.77, 6 Nd 3.67
Nd3 0.3333 0.6667 0.4542  6 Sm 3.57-3.72, 6 Nd 3.67
Sm1 0.0000 0.0000 0.3490  1 Pr 3.47, 3 Nd 3.57, 6 Sm 3.67
Sm2 0.0000 0.0000 0.5662  9 Sm 3.58-3.67, 3 Nd 3.72
Sm3 0.3333 0.6667 0.6721  9 Sm 3.58-3.67, 3 Nd 3.67
Sm4 0.3333 0.6667 0.8912  3 Pr 3.65, 3 Nd 3.66, 6 Sm 3.67

Summary:
The volume comes out at 35.32 Å³/atom. As for the space group: P3m1, No. 156. As for the crystal system: trigonal. As for the total DFT energy (no corrections): -4.69 eV per atom.

***

This record from Alexandria describes BeSnSb2N after structural relaxation. The functional is PBE.

Cell: 4.7710 4.7710 4.8597 Å, 90.00 90.00 90.00°
Closest atoms and distances in Å follow each position.
Fractional positions:
Be1 0.0000 0.0000 0.0000  4 Sb 2.39, 2 Sn 2.43
Sn1 0.0000 0.0000 0.5000  2 Be 2.43
Sb1 0.0000 0.5000 0.0000  2 Be 2.39
Sb2 0.5000 0.0000 0.0000  2 Be 2.39
N1 0.5000 0.5000 0.5000  4 Sn 3.37, 8 Sb 3.41

Summary:
The volume comes out at 22.12 Å³/atom. As for the space group: P4/mmm, No. 123. As for the crystal system: tetragonal. As for the total DFT energy (no corrections): -3.51 eV per atom.

***

This record from Alexandria describes K2PuMg3F12 after structural relaxation. The functional is PBE.

Cell: 6.9738 6.9738 6.9738 Å, 64.41 64.41 64.41°
Closest atoms and distances in Å follow each position.
Fractional positions:
K1 0.1105 0.1105 0.1105  3 F 2.69
K2 0.8895 0.8895 0.8895  3 F 2.69
Pu1 0.5000 0.5000 0.5000  6 F 2.28
Mg1 0.0000 0.5000 0.5000  6 F 1.96-2.04
Mg2 0.5000 0.0000 0.5000  6 F 1.96-2.04
Mg3 0.5000 0.5000 0.0000  6 F 1.96-2.04
F1 0.1212 0.6249 0.6249  1 Mg 2.04, 1 Pu 2.28
F2 0.2285 0.2285 0.6001  2 Mg 1.96
F3 0.2285 0.6001 0.2285  2 Mg 1.96
F4 0.3751 0.3751 0.8788  1 Mg 2.04, 1 Pu 2.28
F5 0.3751 0.8788 0.3751  1 Mg 2.04, 1 Pu 2.28
F6 0.3999 0.7715 0.7715  2 Mg 1.96
F7 0.6001 0.2285 0.2285  2 Mg 1.96
F8 0.6249 0.1212 0.6249  1 Mg 2.04, 1 Pu 2.28
F9 0.6249 0.6249 0.1212  1 Mg 2.04, 1 Pu 2.28
F10 0.7715 0.3999 0.7715  2 Mg 1.96
F11 0.7715 0.7715 0.3999  2 Mg 1.96
F12 0.8788 0.3751 0.3751  1 Mg 2.04, 1 Pu 2.28

Summary:
The volume comes out at 14.61 Å³/atom. As for the space group: R-3m, No. 166. As for the crystal system: trigonal. As for the total DFT energy (no corrections): -5.76 eV per atom.

***

This record from Alexandria describes K2Tl3ReO6 after structural relaxation. The functional is PBE.

Cell: 6.5837 6.5837 6.2417 Å, 98.23 98.23 121.22°
Closest atoms and distances in Å follow each position.
Fractional positions:
K1 0.1705 0.8295 0.0000  6 O 2.66-2.90
K2 0.8295 0.1705 0.0000  6 O 2.66-2.90
Tl1 0.0000 0.0000 0.5000  4 O 2.78
Tl2 0.3430 0.6570 0.5000  4 O 2.55-2.67
Tl3 0.6570 0.3430 0.5000  4 O 2.55-2.67
Re1 0.5000 0.5000 0.0000  6 O 1.90-1.98
O1 0.2013 0.4349 0.8262  1 Re 1.90
O2 0.3267 0.3267 0.2149  1 Re 1.98
O3 0.4349 0.2013 0.8262  1 Re 1.90
O4 0.5651 0.7987 0.1738  1 Re 1.90
O5 0.6733 0.6733 0.7851  1 Re 1.98
O6 0.7987 0.5651 0.1738  1 Re 1.90

Summary:
The volume comes out at 18.44 Å³/atom. As for the space group: C2/m, No. 12. As for the crystal system: monoclinic. As for the total DFT energy (no corrections): -5.59 eV per atom.

***

Computed ρ, in the same sequence as the records: 9.1 9.1 3.9 8.9 8.2 8.9 8.4 4.9 6.9 5.8 3.9 7.3 g/cm³.